[1]
Here is a relaxed Tl2OsW crystal from the Alexandria database. Energies are from GGA-PBEsol.

Computed properties:
**DOS(E_F)**: 3.56 states/eV per cell
**Crystal system**: monoclinic
**Offset from the most stable computed form**: 663.8 meV per atom
**Formation enthalpy at 0 K**: 1.131 eV per atom
**Magnetic moment**: 0.00 Bohr magnetons per cell

a = 2.9954 Å, b = 5.1433 Å, c = 5.5930 Å
α = 116.85°, β = 104.71°, γ = 91.73°
Sites, in units of the cell vectors:
Os 0.0000 0.5000 0.0000
Tl 0.0000 0.0000 0.5000
Tl 0.5000 0.5000 0.5000
W 0.5000 0.0000 0.0000


[2]
Here is a relaxed Tl2OsW crystal from the Alexandria database. Energies are from GGA-PBEsol.

Computed properties:
**DOS(E_F)**: 3.07 states/eV per cell
**Crystal system**: tetragonal
**Offset from the most stable computed form**: 35.2 meV per atom
**Formation enthalpy at 0 K**: 0.502 eV per atom
**Magnetic moment**: 0.00 Bohr magnetons per cell

a = 3.0280 Å, b = 3.0280 Å, c = 8.8310 Å
α = 90.00°, β = 90.00°, γ = 90.00°
Sites, in units of the cell vectors:
Os 0.5000 0.5000 0.7046
Tl 0.0000 0.0000 0.9592
Tl 0.5000 0.5000 0.2902
W 0.0000 0.0000 0.5460


[3]
Here is a relaxed Tl2OsW crystal from the Alexandria database. Energies are from GGA-PBEsol.

Computed properties:
**DOS(E_F)**: 2.57 states/eV per cell
**Crystal system**: monoclinic
**Offset from the most stable computed form**: 0.0 meV per atom
**Formation enthalpy at 0 K**: 0.467 eV per atom
**Magnetic moment**: 0.00 Bohr magnetons per cell

a = 3.0161 Å, b = 3.0271 Å, c = 8.8419 Å
α = 90.00°, β = 99.80°, γ = 90.00°
Sites, in units of the cell vectors:
Os 0.5418 0.5000 0.7080
Tl 0.1644 0.0000 0.9593
Tl 0.3338 0.5000 0.2890
W 0.9600 0.0000 0.5438


[4]
Here is a relaxed TlOsW crystal from the Alexandria database. Energies are from GGA-PBEsol.

Computed properties:
**DOS(E_F)**: 2.05 states/eV per cell
**Crystal system**: trigonal
**Formation enthalpy at 0 K**: 0.628 eV per atom
**Magnetic moment**: 0.00 Bohr magnetons per cell

a = 2.8962 Å, b = 2.8962 Å, c = 7.0399 Å
α = 90.00°, β = 90.00°, γ = 120.00°
Sites, in units of the cell vectors:
Os 0.0000 0.0000 0.0216
Tl 0.6667 0.3333 0.6695
W 0.3333 0.6667 0.3089